Record 1
# PBE CeNd3Sb2, optimized geometry
data_CeNd3Sb2
_chemical_formula_sum 'Ce4 Nd12 Sb8'
_cell_length_a 7.3509
_cell_length_b 14.7416
_cell_length_c 7.7627
_cell_angle_alpha 90.00
_cell_angle_beta 90.00
_cell_angle_gamma 90.00
_symmetry_space_group_name_H-M 'I b a m'
_symmetry_Int_Tables_number 72
_symmetry_space_group_name_Hall '-I 2 2c'
loop_
_atom_site_label
_atom_site_type_symbol
_atom_site_fract_x
_atom_site_fract_y
_atom_site_fract_z
_atom_site_occupancy
Ce1 Ce 0.0000 0.0000 0.0000 1
Nd1 Nd 0.0000 0.2060 0.2500 1
Nd2 Nd 0.0000 0.5000 0.2500 1
Sb1 Sb 0.1745 0.3529 0.0000 1
# * energy relative to the elements, uncorrected: -0.573 eV/atom
# * DOS at the Fermi energy: 1.797 states/eV per atom

=====

Record 2
# PBE Li3Zn2IrO6, optimized geometry
data_Li3Zn2IrO6
_chemical_formula_sum 'Li6 Zn4 Ir2 O12'
_cell_length_a 5.3071
_cell_length_b 9.1634
_cell_length_c 5.1684
_cell_angle_alpha 90.00
_cell_angle_beta 110.40
_cell_angle_gamma 90.00
_symmetry_space_group_name_H-M 'C 1 2/m 1'
_symmetry_Int_Tables_number 12
loop_
_symmetry_equiv_pos_as_xyz
'x,y,z'
'-x,-y,-z'
'-x,y,-z'
'x,-y,z'
'x+1/2,y+1/2,z'
'-x+1/2,-y+1/2,-z'
'-x+1/2,y+1/2,-z'
'x+1/2,-y+1/2,z'
loop_
_atom_site_label
_atom_site_type_symbol
_atom_site_fract_x
_atom_site_fract_y
_atom_site_fract_z
_atom_site_occupancy
Li1 Li 0.0000 0.0000 0.0000 1
Li2 Li 0.0000 0.3357 0.0000 1
Zn1 Zn 0.0000 0.1673 0.5000 1
Ir1 Ir 0.0000 0.5000 0.5000 1
O1 O 0.2342 0.3431 0.7349 1
O2 O 0.2367 0.5000 0.2720 1
# * energy relative to the elements, uncorrected: -1.419 eV/atom
# * DOS at the Fermi energy: 0.262 states/eV per atom

=====

Record 3
# PBE MgBeTe2, optimized geometry
data_MgBeTe2
_chemical_formula_sum 'Mg2 Be2 Te4'
_cell_length_a 3.8185
_cell_length_b 5.3658
_cell_length_c 9.6982
_cell_angle_alpha 90.00
_cell_angle_beta 90.00
_cell_angle_gamma 90.00
_symmetry_space_group_name_H-M 'C m m 2'
_symmetry_Int_Tables_number 35
loop_
_symmetry_equiv_pos_as_xyz
'x,y,z'
'-x,-y,z'
'-x,y,z'
'x,-y,z'
'x+1/2,y+1/2,z'
'-x+1/2,-y+1/2,z'
'-x+1/2,y+1/2,z'
'x+1/2,-y+1/2,z'
loop_
_atom_site_label
_atom_site_type_symbol
_atom_site_fract_x
_atom_site_fract_y
_atom_site_fract_z
_atom_site_occupancy
Mg1 Mg 0.0000 0.0000 0.0000 1
Be1 Be 0.0000 0.5000 0.1957 1
Te1 Te 0.0000 0.0000 0.3525 1
Te2 Te 0.0000 0.5000 0.7516 1
# * energy relative to the elements, uncorrected: 0.164 eV/atom
# * energy above the lowest structure with this stoichiometry: 2.95 eV/f.u.
# * DOS at the Fermi energy: 0.413 states/eV per atom

=====

Record 4
# PBE KInGe2Pb, optimized geometry
data_KInGe2Pb
_chemical_formula_sum 'K1 In1 Ge2 Pb1'
_cell_length_a 5.4352
_cell_length_b 5.4352
_cell_length_c 5.9340
_cell_angle_alpha 90.00
_cell_angle_beta 90.00
_cell_angle_gamma 90.00
_symmetry_space_group_name_H-M 'P 4/m m m'
_symmetry_Int_Tables_number 123
_symmetry_space_group_name_Hall '-P 4 2'
loop_
_atom_site_label
_atom_site_type_symbol
_atom_site_fract_x
_atom_site_fract_y
_atom_site_fract_z
_atom_site_occupancy
K1 K 0.0000 0.0000 0.0000 1
In1 In 0.5000 0.5000 0.5000 1
Ge1 Ge 0.0000 0.5000 0.5000 1
Pb1 Pb 0.5000 0.5000 0.0000 1
# * energy of formation: 0.429 eV per atom
# * DOS at the Fermi energy: 0.708 states/eV per atom

=====

Record 5
# PBE BH2Ir2, optimized geometry
data_BH2Ir2
_chemical_formula_sum 'B2 H4 Ir4'
_cell_length_a 2.7866
_cell_length_b 2.7866
_cell_length_c 10.8287
_cell_angle_alpha 90.00
_cell_angle_beta 90.00
_cell_angle_gamma 90.00
_symmetry_space_group_name_H-M 'I 4/m m m'
_symmetry_Int_Tables_number 139
_symmetry_space_group_name_Hall '-I 4 2'
loop_
_atom_site_label
_atom_site_type_symbol
_atom_site_fract_x
_atom_site_fract_y
_atom_site_fract_z
_atom_site_occupancy
B1 B 0.0000 0.0000 0.0000 1
H1 H 0.0000 0.5000 0.2500 1
Ir1 Ir 0.0000 0.0000 0.3777 1
# * energy above the lowest structure with this stoichiometry: 0.47 eV/f.u.
# * DOS at the Fermi energy: 0.339 states/eV per atom

=====

Record 6
# PBE Ta4NiCl, optimized geometry
data_Ta4NiCl
_chemical_formula_sum 'Ta16 Ni4 Cl4'
_cell_length_a 7.7163
_cell_length_b 7.7163
_cell_length_c 7.7163
_cell_angle_alpha 90.00
_cell_angle_beta 90.00
_cell_angle_gamma 90.00
_symmetry_space_group_name_H-M 'F -4 3 m'
_symmetry_Int_Tables_number 216
_symmetry_space_group_name_Hall 'F -4 2 3'
loop_
_atom_site_label
_atom_site_type_symbol
_atom_site_fract_x
_atom_site_fract_y
_atom_site_fract_z
_atom_site_occupancy
Ta1 Ta 0.1233 0.1233 0.3767 1
Ni1 Ni 0.2500 0.2500 0.7500 1
Cl1 Cl 0.0000 0.0000 0.0000 1
# * energy relative to the elements, uncorrected: 0.954 eV/atom
# * DOS at the Fermi energy: 1.149 states/eV per atom

=====

Record 7
# PBE Sr2Ac2Sn3, optimized geometry
data_Sr2Ac2Sn3
_chemical_formula_sum 'Sr4 Ac4 Sn6'
_cell_length_a 17.7909
_cell_length_b 5.5072
_cell_length_c 5.7165
_cell_angle_alpha 90.00
_cell_angle_beta 108.70
_cell_angle_gamma 90.00
_symmetry_space_group_name_H-M 'C 1 2/m 1'
_symmetry_Int_Tables_number 12
loop_
_symmetry_equiv_pos_as_xyz
'x,y,z'
'-x,-y,-z'
'-x,y,-z'
'x,-y,z'
'x+1/2,y+1/2,z'
'-x+1/2,-y+1/2,-z'
'-x+1/2,y+1/2,-z'
'x+1/2,-y+1/2,z'
loop_
_atom_site_label
_atom_site_type_symbol
_atom_site_fract_x
_atom_site_fract_y
_atom_site_fract_z
_atom_site_occupancy
Sr1 Sr 0.1194 0.0000 0.1191 1
Ac1 Ac 0.1297 0.5000 0.6288 1
Sn1 Sn 0.0000 0.0000 0.5000 1
Sn2 Sn 0.2445 0.5000 0.2438 1
# * energy of formation: -0.558 eV per atom
# * DOS at the Fermi energy: 0.672 states/eV per atom

=====

Record 8
# PBE TaMn, optimized geometry
data_TaMn
_chemical_formula_sum 'Ta4 Mn4'
_cell_length_a 4.9224
_cell_length_b 4.9224
_cell_length_c 4.9224
_cell_angle_alpha 90.00
_cell_angle_beta 90.00
_cell_angle_gamma 90.00
_symmetry_space_group_name_H-M 'P 21 3'
_symmetry_Int_Tables_number 198
_symmetry_space_group_name_Hall 'P 2ac 2ab 3'
loop_
_atom_site_label
_atom_site_type_symbol
_atom_site_fract_x
_atom_site_fract_y
_atom_site_fract_z
_atom_site_occupancy
Ta1 Ta 0.0890 0.0890 0.0890 1
Mn1 Mn 0.0888 0.5888 0.9112 1
# * energy of formation: 0.111 eV per atom
# * DOS at the Fermi energy: 0.381 states/eV per atom

=====

Record 9
# PBE Ce2YSb3, optimized geometry
data_Ce2YSb3
_chemical_formula_sum 'Ce4 Y2 Sb6'
_cell_length_a 4.4654
_cell_length_b 6.3192
_cell_length_c 13.3891
_cell_angle_alpha 90.00
_cell_angle_beta 90.00
_cell_angle_gamma 90.00
_symmetry_space_group_name_H-M 'I m m m'
_symmetry_Int_Tables_number 71
_symmetry_space_group_name_Hall '-I 2 2'
loop_
_atom_site_label
_atom_site_type_symbol
_atom_site_fract_x
_atom_site_fract_y
_atom_site_fract_z
_atom_site_occupancy
Ce1 Ce 0.0000 0.0000 0.1676 1
Y1 Y 0.0000 0.0000 0.5000 1
Sb1 Sb 0.0000 0.5000 0.1638 1
Sb2 Sb 0.0000 0.5000 0.5000 1
# * energy relative to the elements, uncorrected: -1.081 eV/atom
# * energy above the lowest structure with this stoichiometry: 0.00 eV/f.u.
# * DOS at the Fermi energy: 2.169 states/eV per atom

=====

Record 10
# PBE BTeRhAu, optimized geometry
data_BTeRhAu
_chemical_formula_sum 'B1 Te1 Rh1 Au1'
_cell_length_a 2.9243
_cell_length_b 2.9243
_cell_length_c 8.1220
_cell_angle_alpha 90.00
_cell_angle_beta 90.00
_cell_angle_gamma 90.00
_symmetry_space_group_name_H-M 'P 4 m m'
_symmetry_Int_Tables_number 99
loop_
_symmetry_equiv_pos_as_xyz
'x,y,z'
'-y,x,z'
'-x,-y,z'
'y,-x,z'
'-x,y,z'
'y,x,z'
'x,-y,z'
'-y,-x,z'
loop_
_atom_site_label
_atom_site_type_symbol
_atom_site_fract_x
_atom_site_fract_y
_atom_site_fract_z
_atom_site_occupancy
B1 B 0.0000 0.0000 0.0000 1
Te1 Te 0.0000 0.0000 0.3094 1
Rh1 Rh 0.5000 0.5000 0.9180 1
Au1 Au 0.0000 0.0000 0.6568 1
# * energy relative to the elements, uncorrected: 0.098 eV/atom
# * energy above the lowest structure with this stoichiometry: 0.07 eV/f.u.
# * DOS at the Fermi energy: 0.233 states/eV per atom

=====

Record 11
# PBE P3C, optimized geometry
data_P3C
_chemical_formula_sum 'P3 C1'
_cell_length_a 3.0606
_cell_length_b 4.9697
_cell_length_c 5.4485
_cell_angle_alpha 101.40
_cell_angle_beta 105.66
_cell_angle_gamma 90.01
_symmetry_space_group_name_H-M 'P 1'
_symmetry_Int_Tables_number 1
loop_
_symmetry_equiv_pos_as_xyz
'x,y,z'
loop_
_atom_site_label
_atom_site_type_symbol
_atom_site_fract_x
_atom_site_fract_y
_atom_site_fract_z
_atom_site_occupancy
P1 P 0.0000 0.0000 0.0000 1
P2 P 0.1787 0.3649 0.3718 1
P3 P 0.6687 0.6579 0.3508 1
C1 C 0.5484 0.8483 0.1011 1
# * energy above the lowest structure with this stoichiometry: 0.25 eV/f.u.
# * energy of formation: 0.472 eV per atom
# * DOS at the Fermi energy: 0.342 states/eV per atom

=====

Record 12
# PBE LiTmMg11, optimized geometry
data_LiTmMg11
_chemical_formula_sum 'Li2 Tm2 Mg22'
_cell_length_a 5.8604
_cell_length_b 14.3323
_cell_length_c 7.7343
_cell_angle_alpha 90.00
_cell_angle_beta 111.48
_cell_angle_gamma 90.00
_symmetry_space_group_name_H-M 'C 1 2/m 1'
_symmetry_Int_Tables_number 12
loop_
_symmetry_equiv_pos_as_xyz
'x,y,z'
'-x,-y,-z'
'-x,y,-z'
'x,-y,z'
'x+1/2,y+1/2,z'
'-x+1/2,-y+1/2,-z'
'-x+1/2,y+1/2,-z'
'x+1/2,-y+1/2,z'
loop_
_atom_site_label
_atom_site_type_symbol
_atom_site_fract_x
_atom_site_fract_y
_atom_site_fract_z
_atom_site_occupancy
Li1 Li 0.0000 0.0000 0.0000 1
Tm1 Tm 0.0000 0.5000 0.5000 1
Mg1 Mg 0.0000 0.5000 0.0000 1
Mg2 Mg 0.0980 0.1043 0.7133 1
Mg3 Mg 0.1752 0.3263 0.8510 1
Mg4 Mg 0.2500 0.2500 0.5000 1
# * energy of formation: -0.004 eV per atom
# * DOS at the Fermi energy: 0.565 states/eV per atom

=====

Number 1: total magnetic moment 0.3094 μB per atom. Number 2: total magnetic moment 0.1701 μB per atom. Number 3: total magnetic moment 0.0000 μB per atom. Number 4: total magnetic moment 0.0000 μB per atom. Number 5: total magnetic moment 0.0000 μB per atom. Number 6: total magnetic moment 0.0000 μB per atom. Number 7: total magnetic moment 0.0000 μB per atom. Number 8: total magnetic moment 0.0000 μB per atom. Number 9: total magnetic moment 0.2734 μB per atom. Number 10: total magnetic moment 0.0000 μB per atom. Number 11: total magnetic moment 0.0000 μB per atom. Number 12: total magnetic moment 0.0000 μB per atom.